The following is a DFT calculation (PBE) of SnGeBi2 after structural relaxation.

Cell: 3.7914 3.7914 7.6398 Å, 90.00 90.00 90.00°
Fractional positions:
Sn1 0.5000 0.5000 0.5000
Bi1 0.0000 0.0000 0.2284
Bi2 0.0000 0.0000 0.7716
Ge1 0.5000 0.5000 0.0000

Computed properties:
- electronic total energy (eV/atom) = -3.907
- total magnetization (μB per formula unit) = 0.0
- calculated volume (Å³/cell) = 109.8
- space-group type = P4/mmm

The following is a DFT calculation (PBE) of SnGeBi2 after structural relaxation.

Cell: 4.2088 4.2088 8.1583 Å, 75.05 75.05 60.00°
Fractional positions:
Sn1 0.5002 0.5002 0.4995
Ge1 0.6677 0.6677 0.9969
Bi1 0.2572 0.2572 0.2284
Bi2 0.0750 0.0750 0.7751

Computed properties:
- electronic total energy (eV/atom) = -3.931
- total magnetization (μB per formula unit) = 0.0
- calculated volume (Å³/cell) = 119.5
- space-group type = R3m

The following is a DFT calculation (PBE) of SnGe2Bi2 after structural relaxation.

Cell: 3.9454 3.9454 9.1507 Å, 77.55 77.55 90.00°
Fractional positions:
Ge1 0.2500 0.7500 0.5000
Ge2 0.7500 0.2500 0.5000
Bi1 0.3962 0.3962 0.2076
Bi2 0.6038 0.6038 0.7924
Sn1 0.0000 0.0000 0.0000

Computed properties:
- electronic total energy (eV/atom) = -4.002
- total magnetization (μB per formula unit) = 0.0
- excess energy over the best structure of this formula in the dataset (eV/atom) = 0.000
- calculated volume (Å³/cell) = 135.7
- space-group type = I4/mmm

The following is a DFT calculation (PBE) of Sn2GeBi after structural relaxation.

Cell: 4.1418 4.1418 7.9459 Å, 74.89 74.89 60.00°
Fractional positions:
Bi1 0.4986 0.4986 0.5041
Sn1 0.2625 0.2625 0.2126
Sn2 0.0721 0.0721 0.7836
Ge1 0.6667 0.6667 0.9998

Computed properties:
- electronic total energy (eV/atom) = -3.990
- total magnetization (μB per formula unit) = 0.0
- excess energy over the best structure of this formula in the dataset (eV/atom) = 0.012
- calculated volume (Å³/cell) = 112.6
- space-group type = R3m

The following is a DFT calculation (PBE) of SnGeBi3 after structural relaxation.

Cell: 5.7726 5.7726 5.7726 Å, 90.00 90.00 90.00°
Fractional positions:
Bi1 0.5000 0.0000 0.0000
Bi2 0.0000 0.0000 0.5000
Bi3 0.0000 0.5000 0.0000
Ge1 0.5000 0.5000 0.5000
Sn1 0.0000 0.0000 0.0000

Computed properties:
- electronic total energy (eV/atom) = -3.147
- total magnetization (μB per formula unit) = 0.0
- excess energy over the best structure of this formula in the dataset (eV/atom) = 0.366
- calculated volume (Å³/cell) = 192.4
- space-group type = Pm-3m

The following is a DFT calculation (PBE) of SnGeBi3 after structural relaxation.

Cell: 5.5452 5.5452 5.5452 Å, 90.00 90.00 90.00°
Fractional positions:
Bi1 0.0000 0.5000 0.0000
Bi2 0.0000 0.0000 0.5000
Bi3 0.5000 0.0000 0.0000
Sn1 0.5000 0.5000 0.5000
Ge1 0.0000 0.0000 0.0000

Computed properties:
- electronic total energy (eV/atom) = -3.513
- total magnetization (μB per formula unit) = 0.0
- excess energy over the best structure of this formula in the dataset (eV/atom) = 0.000
- calculated volume (Å³/cell) = 170.5
- space-group type = Pm-3m

The following is a DFT calculation (PBE) of Sn2GeBi after structural relaxation.

Cell: 3.6701 3.6701 7.8292 Å, 90.00 90.00 90.00°
Fractional positions:
Bi1 0.5000 0.5000 0.5000
Ge1 0.5000 0.5000 0.0000
Sn1 0.0000 0.0000 0.7853
Sn2 0.0000 0.0000 0.2147

Computed properties:
- electronic total energy (eV/atom) = -3.974
- total magnetization (μB per formula unit) = 0.0
- excess energy over the best structure of this formula in the dataset (eV/atom) = 0.028
- calculated volume (Å³/cell) = 105.5
- space-group type = P4/mmm

The following is a DFT calculation (PBE) of Sn12Ge5Bi3 after structural relaxation.

Cell: 14.9932 14.9932 14.9932 Å, 109.47 109.47 109.47°
Fractional positions:
Sn1 0.2165 0.5456 0.6310
Sn2 0.2165 0.6709 0.0855
Sn3 0.5854 0.9544 0.6709
Sn4 0.2835 0.4145 0.8291
Sn5 0.4146 0.0456 0.3291
Sn6 0.7835 0.4544 0.3690
Sn7 0.5456 0.3291 0.9146
Sn8 0.0456 0.6310 0.7165
Sn9 0.4544 0.6709 0.0854
Sn10 0.9146 0.8291 0.5456
Sn11 0.7165 0.1310 0.0456
Sn12 0.3291 0.7835 0.4145
Sn13 0.5855 0.8690 0.4146
Sn14 0.2835 0.8690 0.9544
Sn15 0.4145 0.1310 0.5854
Sn16 0.0855 0.1709 0.2165
Sn17 0.9145 0.8291 0.7835
Sn18 0.8291 0.9145 0.2835
Sn19 0.1310 0.4145 0.0854
Sn20 0.4544 0.7835 0.8690
Sn21 0.9544 0.3690 0.2835
Sn22 0.9544 0.5854 0.1709
Sn23 0.5456 0.2165 0.1310
Sn24 0.1709 0.0855 0.7165
Sn25 0.3690 0.9544 0.7835
Sn26 0.9145 0.0854 0.6310
Sn27 0.1709 0.0854 0.9544
Sn28 0.8690 0.5855 0.9146
Sn29 0.6709 0.4544 0.5854
Sn30 0.0854 0.1709 0.4544
Sn31 0.5855 0.7165 0.6709
Sn32 0.6709 0.2165 0.5855
Sn33 0.8291 0.9146 0.0456
Sn34 0.0854 0.9145 0.1310
Sn35 0.4145 0.2835 0.3291
Sn36 0.7835 0.3291 0.9145
Sn37 0.0456 0.4146 0.8291
Sn38 0.7165 0.5855 0.1709
Sn39 0.6310 0.0456 0.2165
Sn40 0.4146 0.3690 0.5855
Sn41 0.5854 0.6310 0.4145
Sn42 0.3690 0.4146 0.0855
Sn43 0.1310 0.7165 0.5456
Sn44 0.9146 0.0855 0.8690
Sn45 0.0855 0.9146 0.3690
Sn46 0.8690 0.2835 0.4544
Sn47 0.3291 0.5456 0.4146
Sn48 0.6310 0.5854 0.9145
Ge1 0.7500 0.1250 0.8750
Ge2 0.6250 0.8750 0.2500
Ge3 0.0000 0.5000 0.0000
Ge4 0.2500 0.8750 0.1250
Ge5 0.3750 0.2500 0.1250
Ge6 0.1250 0.7500 0.3750
Ge7 0.1250 0.3750 0.2500
Ge8 0.8750 0.6250 0.7500
Ge9 0.3750 0.1250 0.7500
Ge10 0.0000 0.0000 0.5000
Ge11 0.5000 0.5000 0.0000
Ge12 0.6250 0.7500 0.8750
Ge13 0.5000 0.5000 0.5000
Ge14 0.7500 0.6250 0.3750
Ge15 0.2500 0.3750 0.6250
Ge16 0.5000 0.0000 0.0000
Ge17 0.8750 0.2500 0.6250
Ge18 0.0000 0.5000 0.5000
Ge19 0.0000 0.0000 0.0000
Ge20 0.5000 0.0000 0.5000
Bi1 0.8750 0.1250 0.2500
Bi2 0.3750 0.6250 0.2500
Bi3 0.3750 0.7500 0.6250
Bi4 0.7500 0.3750 0.1250
Bi5 0.2500 0.6250 0.8750
Bi6 0.6250 0.3750 0.7500
Bi7 0.2500 0.1250 0.3750
Bi8 0.8750 0.7500 0.1250
Bi9 0.7500 0.8750 0.6250
Bi10 0.1250 0.8750 0.7500
Bi11 0.6250 0.2500 0.3750
Bi12 0.1250 0.2500 0.8750

Computed properties:
- electronic total energy (eV/atom) = -3.889
- total magnetization (μB per formula unit) = 0.0
- calculated volume (Å³/cell) = 2594.6
- space-group type = Ia-3d

The following is a DFT calculation (PBE) of Sn2GeBi after structural relaxation.

Cell: 6.6660 6.6660 8.0755 Å, 65.62 65.62 90.00°
Fractional positions:
Sn1 0.3750 0.4140 0.7500
Sn2 0.8750 0.8360 0.7500
Sn3 0.1640 0.6250 0.2500
Sn4 0.5860 0.1250 0.2500
Bi1 0.7500 0.2500 0.5000
Bi2 0.0000 0.0000 0.0000
Ge1 0.5000 0.5000 0.0000
Ge2 0.2500 0.7500 0.5000

Computed properties:
- electronic total energy (eV/atom) = -3.975
- total magnetization (μB per formula unit) = 0.0
- excess energy over the best structure of this formula in the dataset (eV/atom) = 0.027
- calculated volume (Å³/cell) = 291.4
- space-group type = I-42d

The following is a DFT calculation (PBE) of TlSnGeBi after structural relaxation.

Cell: 5.3805 5.3805 5.3805 Å, 60.00 60.00 60.00°
Fractional positions:
Tl1 0.7500 0.7500 0.7500
Ge1 0.0000 0.0000 0.0000
Sn1 0.5000 0.5000 0.5000
Bi1 0.2500 0.2500 0.2500

Computed properties:
- electronic total energy (eV/atom) = -3.530
- total magnetization (μB per formula unit) = 0.0
- calculated volume (Å³/cell) = 110.1
- space-group type = F-43m

The following is a DFT calculation (PBE) of V2SnGeBi after structural relaxation.

Cell: 5.1871 5.4749 5.1871 Å, 90.00 90.00 90.00°
Site moments in Bohr magnetons follow the coordinates.
Fractional positions:
Sn1 0.5000 0.5000 0.5000  -0.13
V1 0.0000 0.0000 0.5000  2.73
V2 0.5000 0.0000 0.0000  2.47
Ge1 0.0000 0.5000 0.0000  -0.09
Bi1 0.0000 0.0000 0.0000  -0.11

Computed properties:
- electronic total energy (eV/atom) = -4.850
- total magnetization (μB per formula unit) = 5.6
- calculated volume (Å³/cell) = 147.3
- space-group type = P4/mmm

The following is a DFT calculation (PBE) of VSnGe2Bi after structural relaxation.

Cell: 4.8378 5.3455 4.8378 Å, 90.00 90.00 90.00°
Fractional positions:
V1 0.0000 0.0000 0.0000
Bi1 0.0000 0.5000 0.0000
Sn1 0.5000 0.5000 0.5000
Ge1 0.0000 0.0000 0.5000
Ge2 0.5000 0.0000 0.0000

Computed properties:
- electronic total energy (eV/atom) = -4.900
- total magnetization (μB per formula unit) = 0.0
- calculated volume (Å³/cell) = 125.1
- space-group type = P4/mmm

Calculated values (eV per atom) of ΔH_f (0 K) for the records, taken in order: 0.188; 0.165; 0.198; 0.136; 0.906; 0.540; 0.152; 0.250; 0.151; 0.187; 1.297; 0.348.